Computed, not measured: a geometry-optimized LuNb2O4 structure at the PBE level of DFT.

Cell and atoms, written as CIF:
```
data_LuNb2O4
_chemical_formula_sum 'Lu2 Nb4 O8'
_symmetry_space_group_name_H-M 'P 1'
_symmetry_Int_Tables_number 1
_cell_length_a 6.367
_cell_length_b 6.367
_cell_length_c 6.367
_cell_angle_alpha 60.00
_cell_angle_beta 60.00
_cell_angle_gamma 60.00
loop_
_symmetry_equiv_pos_as_xyz
'x,y,z'
loop_
_atom_site_label
_atom_site_type_symbol
_atom_site_fract_x
_atom_site_fract_y
_atom_site_fract_z
Lu1 Lu 0.125 0.125 0.125
Lu2 Lu 0.875 0.875 0.875
Nb1 Nb 0.000 0.500 0.500
Nb2 Nb 0.500 0.000 0.500
Nb3 Nb 0.500 0.500 0.000
Nb4 Nb 0.500 0.500 0.500
O1 O 0.255 0.255 0.255
O2 O 0.255 0.255 0.735
O3 O 0.255 0.735 0.255
O4 O 0.265 0.745 0.745
O5 O 0.735 0.255 0.255
O6 O 0.745 0.265 0.745
O7 O 0.745 0.745 0.265
O8 O 0.745 0.745 0.745
```

Output
Raw total energy = -8.617 eV/atom
Spin magnetization = 1.48 μB per cell